1.
VASP calculation (PBEsol) on a relaxed structure of LiFeCu.

Summary:
Energy of formation (kJ/mol of formula units): 198
Total moment (μB per atom): 0.926
Energy above the lowest structure with this stoichiometry (meV per atom): 435

a b c (Å): 5.5221 5.5221 5.5221
angles (deg): 90.00 90.00 90.00
Closest atoms and distances in Å follow each position.
Space group F-43m (No. 216)
Symmetry-distinct sites (fractional):
1 Li 0.0000 0.0000 0.0000 x4  4 Cu 2.39
2 Fe 0.0000 0.0000 0.5000 x4  4 Cu 2.39
3 Cu 0.2500 0.2500 0.7500 x4  4 Fe 2.39, 4 Li 2.39

2.
VASP calculation (PBEsol) on a relaxed structure of LiFe2Cu.

Summary:
Energy of formation (kJ/mol of formula units): 87
Total moment (μB per atom): 1.072

a b c (Å): 2.6016 3.9985 4.2545
angles (deg): 90.00 90.00 90.00
Closest atoms and distances in Å follow each position.
Space group Pmmm (No. 47)
Symmetry-distinct sites (fractional):
1 Li 0.0000 0.0000 0.0000 x1  4 Cu 2.39, 4 Fe 2.49, 2 Li 2.60
2 Fe 0.0000 0.5000 0.5000 x1  6 Fe 2.39-2.60, 4 Cu 2.49
3 Fe 0.5000 0.0000 0.5000 x1  6 Fe 2.39-2.60, 4 Li 2.49
4 Cu 0.5000 0.5000 0.0000 x1  4 Li 2.39, 4 Fe 2.49, 2 Cu 2.60

3.
VASP calculation (PBEsol) on a relaxed structure of LiFe2Cu.

Summary:
Energy of formation (kJ/mol of formula units): 113
Total moment (μB per atom): 1.051

a b c (Å): 5.6065 5.6065 5.6065
angles (deg): 90.00 90.00 90.00
Closest atoms and distances in Å follow each position.
Space group F-43m (No. 216)
Symmetry-distinct sites (fractional):
1 Li 0.0000 0.0000 0.0000 x4  4 Fe 2.43, 4 Cu 2.43
2 Fe 0.0000 0.0000 0.5000 x4  4 Cu 2.43, 4 Fe 2.43
3 Fe 0.2500 0.2500 0.7500 x4  4 Fe 2.43, 4 Li 2.43
4 Cu 0.2500 0.2500 0.2500 x4  4 Fe 2.43, 4 Li 2.43

4.
VASP calculation (PBEsol) on a relaxed structure of Li4Mn3Fe3Cu2O16.

Summary:
E_form (uncorrected) (eV/atom): -1.48
Total moment (μB per atom): 0.470

a b c (Å): 9.6899 5.5839 9.5541
angles (deg): 90.00 93.50 90.00
Closest atoms and distances in Å follow each position.
Space group Cm (No. 8)
Symmetry-distinct sites (fractional):
1 Li 0.0000 0.0000 0.0000 x2  4 O 1.77-1.88
2 Li 0.0051 0.0000 0.4974 x2  4 O 1.77-1.88
3 Li 0.1581 0.5000 0.0953 x2  4 O 1.88-2.00
4 Li 0.3160 0.0000 0.5951 x2  4 O 1.85-1.99
5 Mn 0.0743 0.2546 0.7782 x4  6 O 1.84-1.92
6 Mn 0.1653 0.0000 0.2786 x2  6 O 1.86-1.93
7 Fe 0.3229 0.5000 0.7814 x2  6 O 1.85-1.91
8 Fe 0.4125 0.2409 0.2800 x4  6 O 1.87-1.90
9 Cu 0.1648 0.5000 0.5009 x2  5 O 1.95-2.15
10 Cu 0.3273 0.0000 0.0001 x2  4 O 1.93-2.04
11 O 0.0801 0.2422 0.3884 x4  1 Fe 1.87, 1 Li 1.88, 1 Mn 1.93, 1 Cu 1.95
12 O 0.1541 0.0000 0.8897 x2  1 Li 1.88, 2 Mn 1.91, 1 Cu 1.93
13 O 0.1632 0.5000 0.8865 x2  2 Mn 1.89, 1 Fe 1.90, 1 Li 2.00
14 O 0.2246 0.2775 0.6615 x4  1 Mn 1.89, 1 Fe 1.91, 1 Li 1.91, 1 Cu 2.03
15 O 0.2486 0.2240 0.1674 x4  1 Mn 1.86, 1 Fe 1.87, 1 Li 1.88
16 O 0.3340 0.0000 0.3884 x2  2 Fe 1.89, 1 Mn 1.89, 1 Li 1.99
17 O 0.3449 0.5000 0.3799 x2  1 Li 1.86, 2 Fe 1.87
18 O 0.4143 0.2638 0.8866 x4  1 Fe 1.85, 1 Li 1.87, 1 Mn 1.92, 1 Cu 2.04
19 O 0.4737 0.0000 0.1579 x2  2 Fe 1.90, 1 Li 1.92, 1 Cu 2.01
20 O 0.4836 0.5000 0.6798 x2  1 Li 1.77, 1 Fe 1.88, 2 Mn 1.89
21 O 0.4875 0.5000 0.1836 x2  1 Li 1.77, 2 Fe 1.88, 1 Mn 1.90
22 O 0.4956 0.0000 0.6728 x2  2 Mn 1.84, 1 Li 1.85

The lowest total moment belongs to which entry?
Li4Mn3Fe3Cu2O16

Look up the total moment of the third one.
1.051 μB per atom